# 1
SmMgBi | GGA-PBE | relaxed

Values from the calculation:
magnetization	0.03	μB per cell
energy relative to the lowest polymorph listed for this composition	111	meV per atom
total energy	-0.1358	Ha/atom

Lattice parameters (Å, degrees): 3.8742 3.8742 6.3308 107.82 107.82 90.00
Sites, in units of the cell vectors:
Mg1 0.6321 0.6321 0.2643
Bi1 0.2664 0.2664 0.5329
Sm1 0.9514 0.9514 0.9028



# 2
AlBi2Ru | GGA-PBE | relaxed

Values from the calculation:
magnetization	0.00	μB per cell
total energy	-0.1696	Ha/atom

Lattice parameters (Å, degrees): 6.3744 6.3744 7.6569 65.40 65.40 90.00
Sites, in units of the cell vectors:
Ru1 0.0000 0.0000 0.0000
Ru2 0.7500 0.2500 0.5000
Bi1 0.6511 0.1250 0.2500
Bi2 0.0989 0.6250 0.2500
Bi3 0.3750 0.3489 0.7500
Bi4 0.8750 0.9011 0.7500
Al1 0.5000 0.5000 0.0000
Al2 0.2500 0.7500 0.5000



no.,formation enthalpy at 0 K (eV per atom)
1,-0.297
2,0.580